# K4Ac3FeS8

A relaxed structure of K4Ac3FeS8 (GGA-PBE, Alexandria).

total energy	-5.11	eV per atom
crystal system	trigonal
energy relative to the elements, uncorrected	-141.8	kJ per mole of atoms
SG	No. 166

a b c (Å): 8.9080 8.9080 8.9080
angles (deg): 57.18 57.18 57.18
Atoms (fractional coordinates):
1 K 0.0000 0.0000 0.0000
2 K 0.0000 0.5000 0.5000
3 K 0.5000 0.0000 0.5000
4 K 0.5000 0.5000 0.0000
5 Ac 0.0000 0.0000 0.5000
6 Ac 0.0000 0.5000 0.0000
7 Ac 0.5000 0.0000 0.0000
8 Fe 0.5000 0.5000 0.5000
9 S 0.2404 0.2404 0.2404
10 S 0.2671 0.7166 0.7166
11 S 0.2834 0.2834 0.7329
12 S 0.2834 0.7329 0.2834
13 S 0.7166 0.2671 0.7166
14 S 0.7166 0.7166 0.2671
15 S 0.7329 0.2834 0.2834
16 S 0.7596 0.7596 0.7596